A relaxed KCa3Cu crystal. Source: Alexandria via LeMat-Bulk, functional GGA-PBEsol.

a = 5.7472 Å, b = 5.7472 Å, c = 5.7472 Å
α = 90.00°, β = 90.00°, γ = 90.00°
Closest atoms and distances in Å follow each position.
Positions (direct):
K  0.0000  0.0000  0.0000  12 Ca 4.06
Ca  0.0000  0.5000  0.5000  2 Cu 2.87
Ca  0.5000  0.0000  0.5000  2 Cu 2.87
Ca  0.5000  0.5000  0.0000  2 Cu 2.87
Cu  0.5000  0.5000  0.5000  6 Ca 2.87

formation energy from the elements: 0.0729 eV per atom
space-group type: No. 221
calculated density: 1.95 g/cm³


A relaxed Tl2SbIr crystal. Source: Alexandria via LeMat-Bulk, functional GGA-PBEsol.

a = 7.0353 Å, b = 7.0353 Å, c = 7.0353 Å
α = 90.00°, β = 90.00°, γ = 90.00°
Closest atoms and distances in Å follow each position.
Positions (direct):
Tl  0.0000  0.0000  0.0000  4 Tl 3.05, 4 Sb 3.05
Tl  0.0000  0.5000  0.5000  4 Tl 3.05, 4 Sb 3.05
Tl  0.2500  0.2500  0.2500  4 Tl 3.05, 4 Ir 3.05
Tl  0.2500  0.7500  0.7500  4 Ir 3.05, 4 Tl 3.05
Tl  0.5000  0.0000  0.5000  4 Tl 3.05, 4 Sb 3.05
Tl  0.5000  0.5000  0.0000  4 Tl 3.05, 4 Sb 3.05
Tl  0.7500  0.2500  0.7500  4 Ir 3.05, 4 Tl 3.05
Tl  0.7500  0.7500  0.2500  4 Ir 3.05, 4 Tl 3.05
Sb  0.2500  0.2500  0.7500  4 Tl 3.05, 4 Ir 3.05
Sb  0.2500  0.7500  0.2500  4 Tl 3.05, 4 Ir 3.05
Sb  0.7500  0.2500  0.2500  4 Tl 3.05, 4 Ir 3.05
Sb  0.7500  0.7500  0.7500  4 Tl 3.05, 4 Ir 3.05
Ir  0.0000  0.0000  0.5000  4 Tl 3.05, 4 Sb 3.05
Ir  0.0000  0.5000  0.0000  4 Tl 3.05, 4 Sb 3.05
Ir  0.5000  0.0000  0.0000  4 Tl 3.05, 4 Sb 3.05
Ir  0.5000  0.5000  0.5000  4 Tl 3.05, 4 Sb 3.05

space-group type: No. 216
calculated density: 13.79 g/cm³
ΔE_f (raw): 0.47 eV/atom
energy above the lowest structure with this stoichiometry: 1.409 eV/f.u.


A relaxed ZnTcRh crystal. Source: Alexandria via LeMat-Bulk, functional GGA-PBEsol.

a = 5.7421 Å, b = 5.7421 Å, c = 5.7421 Å
α = 90.00°, β = 90.00°, γ = 90.00°
Closest atoms and distances in Å follow each position.
Positions (direct):
Zn  0.0000  0.0000  0.0000  4 Rh 2.49
Zn  0.0000  0.5000  0.5000  4 Rh 2.49
Zn  0.5000  0.0000  0.5000  4 Rh 2.49
Zn  0.5000  0.5000  0.0000  4 Rh 2.49
Tc  0.0000  0.0000  0.5000  4 Rh 2.49
Tc  0.0000  0.5000  0.0000  4 Rh 2.49
Tc  0.5000  0.0000  0.0000  4 Rh 2.49
Tc  0.5000  0.5000  0.5000  4 Rh 2.49
Rh  0.2500  0.2500  0.7500  4 Tc 2.49, 4 Zn 2.49
Rh  0.2500  0.7500  0.2500  4 Tc 2.49, 4 Zn 2.49
Rh  0.7500  0.2500  0.2500  4 Tc 2.49, 4 Zn 2.49
Rh  0.7500  0.7500  0.7500  4 Tc 2.49, 4 Zn 2.49

formation energy from the elements: 0.2758 eV per atom
space-group type: No. 216
calculated density: 9.34 g/cm³
energy above the lowest structure with this stoichiometry: 1.243 eV/f.u.


A relaxed LiNiP2 crystal. Source: Alexandria via LeMat-Bulk, functional GGA-PBEsol.

a = 2.6432 Å, b = 3.7365 Å, c = 4.9525 Å
α = 90.00°, β = 90.00°, γ = 90.00°
Closest atoms and distances in Å follow each position.
Positions (direct):
Li  0.0000  0.0000  0.0000  8 P 2.60, 2 Li 2.64, 4 Ni 2.81
Ni  0.5000  0.0000  0.5000  4 P 2.24
P  0.5000  0.5000  0.2500  2 Ni 2.24, 2 P 2.48
P  0.5000  0.5000  0.7500  2 Ni 2.24, 2 P 2.48

formation energy from the elements: -0.3707 eV per atom
space-group type: No. 47
calculated density: 4.33 g/cm³


A relaxed BeNiOs2 crystal. Source: Alexandria via LeMat-Bulk, functional GGA-PBEsol.

a = 5.1228 Å, b = 8.1640 Å, c = 2.5880 Å
α = 90.00°, β = 114.68°, γ = 90.00°
Closest atoms and distances in Å follow each position.
Positions (direct):
Be  0.0000  0.0000  0.0000  4 Os 2.47, 2 Ni 2.56, 2 Be 2.59
Be  0.5000  0.5000  0.0000  4 Os 2.47, 2 Ni 2.56, 2 Be 2.59
Ni  0.0000  0.5000  0.0000  4 Os 2.47, 2 Be 2.56, 2 Ni 2.59
Ni  0.5000  0.0000  0.0000  4 Os 2.47, 2 Be 2.56, 2 Ni 2.59
Os  0.2500  0.2500  0.5000  2 Be 2.47, 2 Ni 2.47, 4 Os 2.56-2.59
Os  0.2500  0.7500  0.5000  2 Ni 2.47, 2 Be 2.47, 4 Os 2.56-2.59
Os  0.7500  0.2500  0.5000  2 Be 2.47, 2 Ni 2.47, 4 Os 2.56-2.59
Os  0.7500  0.7500  0.5000  2 Ni 2.47, 2 Be 2.47, 4 Os 2.56-2.59

formation energy from the elements: 0.2980 eV per atom
space-group type: No. 12
calculated density: 15.13 g/cm³


A relaxed ScBe2Fe crystal. Source: Alexandria via LeMat-Bulk, functional GGA-PBEsol.

a = 2.9230 Å, b = 4.1935 Å, c = 7.6313 Å
α = 90.00°, β = 90.00°, γ = 90.00°
Closest atoms and distances in Å follow each position.
Positions (direct):
Sc  0.0000  0.0000  0.0000  4 Fe 2.56-2.71, 8 Be 2.56-2.66
Sc  0.5000  0.5000  0.5000  4 Fe 2.56-2.71, 8 Be 2.56-2.66
Be  0.0000  0.0000  0.5077  2 Be 2.15, 2 Fe 2.30
Be  0.0000  0.5000  0.2141  2 Be 2.15
Be  0.5000  0.0000  0.7141  2 Be 2.15
Be  0.5000  0.5000  0.0077  2 Be 2.15, 2 Fe 2.30
Fe  0.0000  0.5000  0.7748  2 Be 2.30, 2 Sc 2.56
Fe  0.5000  0.0000  0.2748  2 Be 2.30, 2 Sc 2.56

formation energy from the elements: 0.1100 eV per atom
space-group type: No. 44
calculated density: 4.22 g/cm³


A relaxed YTa2Mn crystal. Source: Alexandria via LeMat-Bulk, functional GGA-PBEsol.

a = 3.0468 Å, b = 4.0601 Å, c = 6.2802 Å
α = 90.00°, β = 101.69°, γ = 90.00°
Closest atoms and distances in Å follow each position.
Positions (direct):
Y  0.0000  0.0000  0.0000  2 Mn 2.91, 3 Ta 2.99-3.26, 2 Y 3.05
Ta  0.3703  0.5000  0.6640  1 Mn 2.39
Ta  0.8321  0.0000  0.4535  2 Mn 2.44
Mn  0.4603  0.5000  0.2949  3 Ta 2.39-2.44

formation energy from the elements: 0.3448 eV per atom
space-group type: No. 6
calculated density: 11.04 g/cm³
energy above the lowest structure with this stoichiometry: 0.000 eV/f.u.


A relaxed Ba3CrO crystal. Source: Alexandria via LeMat-Bulk, functional GGA-PBEsol.

a = 5.4640 Å, b = 5.4640 Å, c = 5.4640 Å
α = 90.00°, β = 90.00°, γ = 90.00°
Closest atoms and distances in Å follow each position.
Positions (direct):
Ba  0.0000  0.0000  0.5000  2 O 2.73
Ba  0.0000  0.5000  0.0000  2 O 2.73
Ba  0.5000  0.0000  0.0000  2 O 2.73
Cr  0.5000  0.5000  0.5000  12 Ba 3.86
O  0.0000  0.0000  0.0000  6 Ba 2.73

space-group type: No. 221
calculated density: 4.89 g/cm³
ΔE_f (raw): -0.57 eV/atom